Entry 1:
# NdYMo4, relaxed, DFT PBE-GGA
data_NdYMo4
_cell_length_a 7.861
_cell_length_b 7.861
_cell_length_c 7.861
_cell_angle_alpha 90.00
_cell_angle_beta 90.00
_cell_angle_gamma 90.00
_space_group_name_H-M_alt 'F -4 3 m'
_space_group_IT_number 216
_space_group_name_Hall 'F -4 2 3'
loop_
_atom_site_label
_atom_site_type_symbol
_atom_site_fract_x
_atom_site_fract_y
_atom_site_fract_z
_atom_site_occupancy
Nd1 Nd 0.000 0.000 0.000 1
Y1 Y 0.250 0.250 0.250 1
Mo1 Mo 0.125 0.125 0.625 1
# E_form = 184.5 meV per atom
# DOS(E_F) = 1.380 states/eV per atom

Entry 2:
# NdZr2Mo, relaxed, DFT PBE-GGA
data_NdZr2Mo
_cell_length_a 3.2703
_cell_length_b 3.2703
_cell_length_c 31.5998
_cell_angle_alpha 90.00
_cell_angle_beta 90.00
_cell_angle_gamma 120.00
_space_group_name_H-M_alt 'R -3 m'
_space_group_IT_number 166
_space_group_name_Hall '-R 3 2"'
loop_
_atom_site_label
_atom_site_type_symbol
_atom_site_fract_x
_atom_site_fract_y
_atom_site_fract_z
_atom_site_occupancy
Nd1 Nd 0.0000 0.0000 0.0000 1
Zr1 Zr 0.0000 0.0000 0.1021 1
Mo1 Mo 0.0000 0.0000 0.5000 1
# Energy relative to the lowest polymorph listed for this composition = 253 meV per atom
# E_form = 337.4 meV per atom
# DOS(E_F) = 1.467 states/eV per atom

Entry 3:
# NdZr2Mo, relaxed, DFT PBE-GGA
data_NdZr2Mo
_cell_length_a 3.423
_cell_length_b 3.423
_cell_length_c 8.083
_cell_angle_alpha 90.00
_cell_angle_beta 90.00
_cell_angle_gamma 90.00
_space_group_name_H-M_alt 'P 4/m m m'
_space_group_IT_number 123
_space_group_name_Hall '-P 4 2'
loop_
_atom_site_label
_atom_site_type_symbol
_atom_site_fract_x
_atom_site_fract_y
_atom_site_fract_z
_atom_site_occupancy
Nd1 Nd 0.000 0.000 0.000 1
Zr1 Zr 0.500 0.500 0.308 1
Mo1 Mo 0.000 0.000 0.500 1
# Energy relative to the lowest polymorph listed for this composition = 0 meV per atom
# E_form = 84.9 meV per atom
# DOS(E_F) = 1.501 states/eV per atom

Entry 4:
# Ni2Mo, relaxed, DFT PBE-GGA
data_Ni2Mo
_cell_length_a 2.544
_cell_length_b 13.945
_cell_length_c 4.315
_cell_angle_alpha 90.00
_cell_angle_beta 90.00
_cell_angle_gamma 90.00
_space_group_name_H-M_alt 'C m c m'
_space_group_IT_number 63
_space_group_name_Hall '-C 2c 2'
loop_
_atom_site_label
_atom_site_type_symbol
_atom_site_fract_x
_atom_site_fract_y
_atom_site_fract_z
_atom_site_occupancy
Ni1 Ni 0.000 0.047 0.250 1
Ni2 Ni 0.000 0.391 0.250 1
Mo1 Mo 0.000 0.293 0.750 1
# Energy relative to the lowest polymorph listed for this composition = 187 meV per atom
# E_form = 96.7 meV per atom
# DOS(E_F) = 1.229 states/eV per atom

Entry 5:
# Ni2Mo, relaxed, DFT PBE-GGA
data_Ni2Mo
_cell_length_a 5.796
_cell_length_b 5.796
_cell_length_c 4.911
_cell_angle_alpha 90.00
_cell_angle_beta 90.00
_cell_angle_gamma 90.00
_space_group_name_H-M_alt 'I 4/m c m'
_space_group_IT_number 140
_space_group_name_Hall '-I 4 2c'
loop_
_atom_site_label
_atom_site_type_symbol
_atom_site_fract_x
_atom_site_fract_y
_atom_site_fract_z
_atom_site_occupancy
Ni1 Ni 0.136 0.364 0.000 1
Mo1 Mo 0.000 0.000 0.250 1
# Energy relative to the lowest polymorph listed for this composition = 547 meV per atom
# E_form = 457.2 meV per atom
# DOS(E_F) = 1.196 states/eV per atom

Entry 6:
# Ni4Mo5, relaxed, DFT PBE-GGA
data_Ni4Mo5
_cell_length_a 8.091
_cell_length_b 8.091
_cell_length_c 3.756
_cell_angle_alpha 90.00
_cell_angle_beta 90.00
_cell_angle_gamma 90.00
_space_group_name_H-M_alt 'I 4/m m m'
_space_group_IT_number 139
_space_group_name_Hall '-I 4 2'
loop_
_atom_site_label
_atom_site_type_symbol
_atom_site_fract_x
_atom_site_fract_y
_atom_site_fract_z
_atom_site_occupancy
Ni1 Ni 0.000 0.345 0.000 1
Mo1 Mo 0.000 0.000 0.000 1
Mo2 Mo 0.173 0.173 0.500 1
# Energy relative to the lowest polymorph listed for this composition = 0 meV per atom
# E_form = 61.5 meV per atom
# DOS(E_F) = 0.928 states/eV per atom